Record 1
{"formula": "HgPd3Pb2", "functional": "PBE-GGA", "state": "relaxed", "ef_ev_per_atom": -0.197, "relative_energy_ev_per_atom": 0.000, "spacegroup": "P2_1/c", "e_tot_ev_per_atom": -4.08, "lattice": [[7.452, 0.000, 0.000], [0.000, 12.869, 0.000], [-1.894, 0.000, 5.289]], "species": ["Hg", "Hg", "Hg", "Hg", "Pd", "Pd", "Pd", "Pd", "Pd", "Pd", "Pd", "Pd", "Pd", "Pd", "Pd", "Pd", "Pb", "Pb", "Pb", "Pb", "Pb", "Pb", "Pb", "Pb"], "fractional_positions": [[0.015, 0.166, 0.333], [0.015, 0.334, 0.833], [0.985, 0.666, 0.167], [0.985, 0.834, 0.667], [0.309, 0.744, 0.575], [0.309, 0.756, 0.075], [0.329, 0.549, 0.313], [0.329, 0.951, 0.813], [0.415, 0.110, 0.505], [0.415, 0.390, 0.005], [0.585, 0.610, 0.995], [0.585, 0.890, 0.495], [0.671, 0.049, 0.187], [0.671, 0.451, 0.687], [0.691, 0.244, 0.925], [0.691, 0.256, 0.425], [0.186, 0.562, 0.764], [0.186, 0.938, 0.264], [0.340, 0.162, 0.969], [0.340, 0.338, 0.469], [0.660, 0.662, 0.531], [0.660, 0.838, 0.031], [0.814, 0.062, 0.736], [0.814, 0.438, 0.236]]}

---

Record 2
{"formula": "HgPdPb2", "functional": "PBE-GGA", "state": "relaxed", "ef_ev_per_atom": 0.009, "spacegroup": "P4/mmm", "e_tot_ev_per_atom": -3.22, "lattice": [[5.077, 0.000, 0.000], [0.000, 5.077, 0.000], [0.000, 0.000, 3.793]], "species": ["Hg", "Pd", "Pb", "Pb"], "fractional_positions": [[0.000, 0.000, 0.000], [0.500, 0.500, 0.000], [0.000, 0.500, 0.500], [0.500, 0.000, 0.500]]}

---

Record 3
{"formula": "HgPd4Pb", "functional": "PBE-GGA", "state": "relaxed", "ef_ev_per_atom": -0.076, "relative_energy_ev_per_atom": 0.076, "spacegroup": "F-43m", "e_tot_ev_per_atom": -4.21, "lattice": [[0.000, 3.835, 3.835], [3.835, 0.000, 3.835], [3.835, 3.835, 0.000]], "species": ["Hg", "Pd", "Pd", "Pd", "Pd", "Pb"], "fractional_positions": [[0.000, 0.000, 0.000], [0.124, 0.625, 0.625], [0.625, 0.124, 0.625], [0.625, 0.625, 0.124], [0.625, 0.625, 0.625], [0.250, 0.250, 0.250]]}

---

Record 4
{"formula": "HgPd3Pb5", "functional": "PBE-GGA", "state": "relaxed", "ef_ev_per_atom": -0.075, "spacegroup": "C2/m", "e_tot_ev_per_atom": -3.90, "lattice": [[5.229, -4.951, 0.000], [5.229, 4.951, 0.000], [-4.272, 0.000, 9.342]], "species": ["Hg", "Hg", "Pd", "Pd", "Pd", "Pd", "Pd", "Pd", "Pb", "Pb", "Pb", "Pb", "Pb", "Pb", "Pb", "Pb", "Pb", "Pb"], "fractional_positions": [[0.244, 0.244, 0.245], [0.756, 0.756, 0.755], [0.000, 0.000, 0.000], [0.013, 0.013, 0.712], [0.497, 0.497, 0.222], [0.500, 0.500, 0.500], [0.503, 0.503, 0.778], [0.987, 0.987, 0.288], [0.163, 0.695, 0.122], [0.220, 0.780, 0.500], [0.241, 0.241, 0.552], [0.305, 0.837, 0.878], [0.312, 0.312, 0.908], [0.688, 0.688, 0.092], [0.695, 0.163, 0.122], [0.759, 0.759, 0.448], [0.780, 0.220, 0.500], [0.837, 0.305, 0.878]]}

---

Record 5
{"formula": "Hg2Pd8Pb", "functional": "PBE-GGA", "state": "relaxed", "ef_ev_per_atom": -0.114, "relative_energy_ev_per_atom": 0.060, "spacegroup": "Immm", "e_tot_ev_per_atom": -4.28, "lattice": [[-2.038, 4.002, 6.072], [2.038, -4.002, 6.072], [2.038, 4.002, -6.072]], "species": ["Hg", "Hg", "Pd", "Pd", "Pd", "Pd", "Pd", "Pd", "Pd", "Pd", "Pb"], "fractional_positions": [[0.154, 0.154, 0.000], [0.846, 0.846, 0.000], [0.084, 0.331, 0.753], [0.257, 0.000, 0.257], [0.327, 0.827, 0.500], [0.422, 0.669, 0.753], [0.578, 0.331, 0.247], [0.673, 0.173, 0.500], [0.743, 0.000, 0.743], [0.916, 0.669, 0.247], [0.500, 0.500, 0.000]]}

---

Record 6
{"formula": "Hg4Pd7Pb", "functional": "PBE-GGA", "state": "relaxed", "ef_ev_per_atom": -0.037, "spacegroup": "C2/m", "e_tot_ev_per_atom": -3.48, "lattice": [[5.303, -2.542, 0.000], [5.303, 2.542, 0.000], [-5.287, 0.000, 8.707]], "species": ["Hg", "Hg", "Hg", "Hg", "Pd", "Pd", "Pd", "Pd", "Pd", "Pd", "Pd", "Pb"], "fractional_positions": [[0.086, 0.086, 0.266], [0.236, 0.236, 0.815], [0.764, 0.764, 0.185], [0.914, 0.914, 0.734], [0.000, 0.000, 0.500], [0.158, 0.158, 0.037], [0.294, 0.294, 0.579], [0.464, 0.464, 0.121], [0.536, 0.536, 0.879], [0.706, 0.706, 0.421], [0.842, 0.842, 0.963], [0.500, 0.500, 0.500]]}

---

Record 7
{"formula": "Hg3Pd6Pb", "functional": "PBE-GGA", "state": "relaxed", "ef_ev_per_atom": -0.076, "relative_energy_ev_per_atom": 0.087, "spacegroup": "Cmc2_1", "e_tot_ev_per_atom": -3.65, "lattice": [[4.969, -6.854, 0.000], [4.969, 6.854, 0.000], [0.000, 0.000, 5.614]], "species": ["Hg", "Hg", "Hg", "Hg", "Hg", "Hg", "Pd", "Pd", "Pd", "Pd", "Pd", "Pd", "Pd", "Pd", "Pd", "Pd", "Pd", "Pd", "Pb", "Pb"], "fractional_positions": [[0.087, 0.913, 0.500], [0.211, 0.359, 0.857], [0.359, 0.211, 0.357], [0.641, 0.789, 0.857], [0.789, 0.641, 0.357], [0.913, 0.087, 0.000], [0.002, 0.524, 0.629], [0.041, 0.233, 0.441], [0.233, 0.041, 0.941], [0.281, 0.719, 0.888], [0.476, 0.998, 0.629], [0.496, 0.504, 0.114], [0.504, 0.496, 0.614], [0.524, 0.002, 0.129], [0.719, 0.281, 0.388], [0.767, 0.959, 0.441], [0.959, 0.767, 0.941], [0.998, 0.476, 0.129], [0.317, 0.683, 0.377], [0.683, 0.317, 0.877]]}

---

Record 8
{"formula": "Hg5Pd6Pb", "functional": "PBE-GGA", "state": "relaxed", "ef_ev_per_atom": -0.144, "spacegroup": "P2/m", "e_tot_ev_per_atom": -3.18, "lattice": [[4.693, 0.000, 0.000], [0.000, 6.731, 0.000], [-2.278, 0.000, 7.034]], "species": ["Hg", "Hg", "Hg", "Hg", "Hg", "Pd", "Pd", "Pd", "Pd", "Pd", "Pd", "Pb"], "fractional_positions": [[0.000, 0.000, 0.000], [0.330, 0.500, 0.659], [0.335, 0.000, 0.670], [0.665, 0.000, 0.330], [0.670, 0.500, 0.341], [0.168, 0.245, 0.335], [0.168, 0.755, 0.335], [0.500, 0.254, 0.000], [0.500, 0.746, 0.000], [0.832, 0.245, 0.665], [0.832, 0.755, 0.665], [0.000, 0.500, 0.000]]}